## Rh (GGA-PBE)

Data for a relaxed structure of Rh.

Summary:
**Energy**: -13.612 eV per cell
**Crystal system**: tetragonal
**SG**: I4_1/amd, No. 141

a b c (Å): 3.6560 3.6560 3.6560
angles (deg): 98.08 98.08 135.96
Last column: nearest neighbours and their distance in Å.
Atoms (fractional coordinates):
Rh 0.7500 0.2500 0.5000  6 Rh 2.49-2.74
Rh 0.5000 0.5000 0.0000  6 Rh 2.49-2.74

***

## K2Cu2RhO6 (GGA-PBE)

Data for a relaxed structure of K2Cu2RhO6.

Summary:
**Energy**: -56.516 eV per cell
**Formation energy from raw total energies**: -0.821 eV per atom
**Crystal system**: trigonal
**SG**: R-3m, No. 166

a b c (Å): 5.7696 5.7696 6.5884
angles (deg): 64.03 64.03 60.00
Last column: nearest neighbours and their distance in Å.
Atoms (fractional coordinates):
K 0.2094 0.2094 0.3719  9 O 2.81-3.02
K 0.7906 0.7906 0.6281  9 O 2.81-3.02
O 0.7738 0.7738 0.2153  1 Cu 1.79, 1 Rh 1.97
O 0.2262 0.2262 0.7847  1 Cu 1.79, 1 Rh 1.97
O 0.2262 0.7630 0.7847  1 Cu 1.79, 1 Rh 1.97
O 0.7630 0.2262 0.7847  1 Cu 1.79, 1 Rh 1.97
O 0.2370 0.7738 0.2153  1 Cu 1.79, 1 Rh 1.97
O 0.7738 0.2370 0.2153  1 Cu 1.79, 1 Rh 1.97
Cu 0.6036 0.6036 0.1891  3 O 1.79
Cu 0.3964 0.3964 0.8109  3 O 1.79
Rh 0.0000 0.0000 0.0000  6 O 1.97

***

## TiCrSb3 (GGA-PBE)

Data for a relaxed structure of TiCrSb3.

Summary:
**Energy**: -24.639 eV per cell
**Formation energy from raw total energies**: 1.049 eV per atom
**Crystal system**: cubic
**SG**: Pm-3m, No. 221

a b c (Å): 5.2059 5.2059 5.2059
angles (deg): 90.00 90.00 90.00
Last column: nearest neighbours and their distance in Å.
Atoms (fractional coordinates):
Sb 0.5000 0.0000 0.0000  2 Ti 2.60
Sb 0.0000 0.0000 0.5000  2 Ti 2.60
Sb 0.0000 0.5000 0.0000  2 Ti 2.60
Cr 0.5000 0.5000 0.5000  12 Sb 3.68
Ti 0.0000 0.0000 0.0000  6 Sb 2.60

***

Among the records above, which one has the highest energy?
Rh